# 1
An optimized crystal structure of Ac3La5H12, computed with GGA-PBE.

Lattice parameters (Å, degrees): 14.2946 14.2946 14.2946 90.00 90.00 90.00
Space group Ia-3d (No. 230)
One atom of each set of equivalent atoms:
Ac 0.0000 0.2500 0.1250
La 0.0000 0.0000 0.0000
La 0.0000 0.2500 0.3750
H 0.0065 0.0695 0.6534

Properties
M_tot: 0.015 μB/cell
Final energy: -4.284 eV/atom

=====

# 2
An optimized crystal structure of Pr2TmTlO6, computed with GGA-PBE.

Lattice parameters (Å, degrees): 5.9711 5.9711 15.2871 90.00 90.00 120.00
Space group R3 (No. 146, hexagonal axes)
One atom of each set of equivalent atoms:
Pr 0.0000 0.0000 0.0000
Pr 0.0000 0.0000 0.4972
Tm 0.0000 0.0000 0.7200
Tl 0.0000 0.0000 0.2223
O 0.0553 0.7003 0.7825
O 0.0629 0.3705 0.2857

Properties
M_tot: 0.000 μB/cell
Final energy: -7.316 eV/atom

=====

# 3
An optimized crystal structure of Li2In3Hg6, computed with GGA-PBE.

Lattice parameters (Å, degrees): 4.5965 4.5965 27.1177 90.00 90.00 90.00
Space group I4/mmm (No. 139)
One atom of each set of equivalent atoms:
Li 0.0000 0.0000 0.1350
In 0.0000 0.0000 0.3472
In 0.0000 0.0000 0.5000
Hg 0.0000 0.0000 0.2344
Hg 0.0000 0.5000 0.0730

Properties
DFT formation energy: -0.0575 eV/atom
M_tot: 0.000 μB/cell
Distance to the lowest polymorph of the same formula: 0.066 eV per atom

=====

# 4
An optimized crystal structure of InAg2Pb, computed with GGA-PBE.

Lattice parameters (Å, degrees): 6.6978 8.4711 3.2365 90.00 90.00 90.00
Space group Cmmm (No. 65)
One atom of each set of equivalent atoms:
In 0.0000 0.0000 0.0000
Ag 0.2500 0.2500 0.5000
Pb 0.0000 0.5000 0.0000

Properties
DFT formation energy: 0.0831 eV/atom
M_tot: 0.000 μB/cell

=====

# 5
An optimized crystal structure of Zr2AlRu3, computed with GGA-PBE.

Lattice parameters (Å, degrees): 3.2199 3.2199 9.4287 90.00 90.00 90.00
Space group P4/mmm (No. 123)
One atom of each set of equivalent atoms:
Zr 0.0000 0.0000 0.1781
Al 0.0000 0.0000 0.5000
Ru 0.5000 0.5000 0.0000
Ru 0.5000 0.5000 0.3469

Properties
DFT formation energy: -0.6597 eV/atom
M_tot: 0.000 μB/cell

=====

# 6
An optimized crystal structure of MgPaPd2, computed with GGA-PBE.

Lattice parameters (Å, degrees): 6.8075 6.8075 6.8075 90.00 90.00 90.00
Space group Fm-3m (No. 225)
One atom of each set of equivalent atoms:
Mg 0.0000 0.0000 0.0000
Pa 0.0000 0.0000 0.5000
Pd 0.2500 0.2500 0.2500

Properties
DFT formation energy: -0.5290 eV/atom
M_tot: 0.000 μB/cell
Distance to the lowest polymorph of the same formula: 0.060 eV per atom

=====

# 7
An optimized crystal structure of Rb2NdScTe4, computed with GGA-PBE.

Lattice parameters (Å, degrees): 7.8073 4.4998 8.9236 90.00 106.91 90.00
Space group P2/m (No. 10)
One atom of each set of equivalent atoms:
Rb 0.0000 0.0000 0.0000
Rb 0.5000 0.5000 0.0000
Nd 0.0000 0.5000 0.5000
Sc 0.5000 0.0000 0.5000
Te 0.2509 0.0000 0.7009
Te 0.2853 0.5000 0.3074

Properties
M_tot: 0.000 μB/cell
Final energy: -4.506 eV/atom

=====

# 8
An optimized crystal structure of Tm8In2Tc, computed with GGA-PBE.

Lattice parameters (Å, degrees): 17.1020 5.4095 6.9176 90.00 112.60 90.00
Space group C2/m (No. 12)
One atom of each set of equivalent atoms:
Tm 0.0093 0.0000 0.2707
Tm 0.1097 0.5000 0.9017
Tm 0.1397 0.5000 0.4072
Tm 0.1913 0.0000 0.7344
In 0.1843 0.0000 0.1879
Tc 0.0000 0.5000 0.5000

Properties
DFT formation energy: -0.2196 eV/atom
M_tot: 0.000 μB/cell